Density functional theory data (PBE) for an optimized crystal structure of CoBRh2.

Cell lengths 2.6943, 2.6943, 6.2816 Å; angles 90.00, 90.00, 90.00 degrees
Last column: magnetic moment on the atom in μB.
Positions (direct):
1 Rh 0.0000 0.0000 0.7917  0.33
2 B 0.5000 0.5000 0.0000  -0.02
3 Rh 0.0000 0.0000 0.2083  0.33
4 Co 0.5000 0.5000 0.5000  1.91

Calculated values
Energy, eV/cell: -28.74
SG: P4/mmm (123)
Crystal system: tetragonal